# 1
Here is crystalline LiLa2MnO5 at its relaxed geometry from the Alexandria database. Energies are from GGA+U.

The space group is P4/mbm (No. 127) and the conventional cell measures 6.858, 6.858 and 5.816 Å, with angles of 90.00, 90.00 and 90.00 degrees. The inequivalent atoms are Li at (0.000, 0.000, 0.000), La at (0.181, 0.319, 0.500), Mn at (0.000, 0.500, 0.000), O at (0.000, 0.000, 0.500) and O at (0.135, 0.635, 0.236).

As for the calculated density: 5.10 g cm⁻³. The calculation puts the energy at -7.373 eV per atom.

# 2
Here is crystalline LiLa4MnO8 at its relaxed geometry from the Alexandria database. Energies are from GGA+U.

The space group is I4_1/amd (No. 141, origin choice 2) and the conventional cell measures 5.420, 5.420 and 25.242 Å, with angles of 90.00, 90.00 and 90.00 degrees. The inequivalent atoms are Li at (0.000, 0.250, 0.375), La at (0.000, 0.250, 0.057), La at (0.000, 0.250, 0.194), Mn at (0.000, 0.250, 0.875), O at (0.000, 0.250, 0.284), O at (0.000, 0.250, 0.791) and O at (0.248, 0.002, 0.875).

As for the calculated density: 6.68 g cm⁻³. For the relative energy among the computed polymorphs, the calculation gives 225 kJ/mol of formula units. The calculation puts the energy at -7.692 eV per atom.

# 3
Here is crystalline LiLa2Mn3O9 at its relaxed geometry from the Alexandria database. Energies are from GGA+U.

The space group is P-3m1 (No. 164) and the conventional cell measures 5.4505, 5.4505 and 6.6911 Å, with angles of 90.00, 90.00 and 120.00 degrees. The inequivalent atoms are Li at (0.0000, 0.0000, 0.0000), La at (0.3333, 0.6667, 0.3237), Mn at (0.0000, 0.0000, 0.5000), Mn at (0.3333, 0.6667, 0.8370), O at (0.0000, 0.5000, 0.0000) and O at (0.1712, 0.3424, 0.6568).

As for the calculated density: 5.73 g cm⁻³. The calculation puts the energy at -7.399 eV per atom.

# 4
Here is crystalline LiLa4MnO8 at its relaxed geometry from the Alexandria database. Energies are from GGA+U.

The space group is Cmmm (No. 65) and the conventional cell measures 5.415, 12.905 and 5.416 Å, with angles of 90.00, 90.00 and 90.00 degrees. The inequivalent atoms are Li at (0.000, 0.000, 0.000), La at (0.000, 0.137, 0.500), La at (0.000, 0.361, 0.000), Mn at (0.000, 0.500, 0.500), O at (0.000, 0.182, 0.000), O at (0.000, 0.319, 0.500) and O at (0.248, 0.500, 0.254).

As for the calculated density: 6.54 g cm⁻³. For the relative energy among the computed polymorphs, the calculation gives 0 kJ/mol of formula units. The calculation puts the energy at -7.859 eV per atom.

# 5
Here is crystalline SrLiLa3MnO8 at its relaxed geometry from the Alexandria database. Energies are from GGA+U.

The space group is Cmcm (No. 63) and the conventional cell measures 5.433, 12.670 and 10.892 Å, with angles of 90.00, 90.00 and 90.00 degrees. The inequivalent atoms are Sr at (0.000, 0.140, 0.250), Li at (0.000, 0.000, 0.000), La at (0.000, 0.135, 0.750), La at (0.000, 0.363, 0.501), Mn at (0.000, 0.498, 0.750), O at (0.000, 0.183, 0.518), O at (0.000, 0.337, 0.750), O at (0.000, 0.342, 0.250) and O at (0.244, 0.500, 0.128).

As for the calculated density: 6.15 g cm⁻³. For the relative energy among the computed polymorphs, the calculation gives 0 kJ/mol of formula units. The calculation puts the energy at -7.489 eV per atom.

# 6
Here is crystalline SrLiLa3MnO8 at its relaxed geometry from the Alexandria database. Energies are from GGA+U.

The space group is Amm2 (No. 38) and the conventional cell measures 5.442, 5.430 and 12.662 Å, with angles of 90.00, 90.00 and 90.00 degrees. The inequivalent atoms are Sr at (0.000, 0.000, 0.000), Li at (0.500, 0.000, 0.131), La at (0.000, 0.000, 0.275), La at (0.500, 0.000, 0.505), La at (0.500, 0.000, 0.781), Mn at (0.000, 0.000, 0.641), O at (0.000, 0.000, 0.478), O at (0.000, 0.000, 0.800), O at (0.244, 0.245, 0.645), O at (0.500, 0.000, 0.326) and O at (0.500, 0.000, 0.960).

As for the calculated density: 6.16 g cm⁻³. For the relative energy among the computed polymorphs, the calculation gives 8 kJ/mol of formula units. The calculation puts the energy at -7.483 eV per atom.

Question: The highest energy belongs to which entry?
Answer: LiLa2MnO5